No. 1
## CaBe2Zn (PBE)

Data for a relaxed CaBe2Zn crystal.

Cell: 3.9440 3.9440 5.5834 Å, 110.58 110.58 59.98°
Atoms (fractional coordinates):
Ca (0.0000, 0.0000, 0.0000)
Be (0.1847, 0.1847, 0.5547)
Be (0.8153, 0.8153, 0.4453)
Zn (0.5000, 0.5000, 0.5000)

Computed properties:
Its raw total energy is -2.677 eV per atom.

***

No. 2
## CaBeZn (PBE)

Data for a relaxed CaBeZn crystal.

Cell: 4.7621 4.7621 4.7621 Å, 60.00 60.00 60.00°
Atoms (fractional coordinates):
Ca (0.0000, 0.0000, 0.0000)
Be (0.7500, 0.7500, 0.7500)
Zn (0.2500, 0.2500, 0.2500)

Computed properties:
The energy above the lowest structure with this stoichiometry comes out at 747 meV/atom.

***

No. 3
## CaBe2Zn (PBE)

Data for a relaxed CaBe2Zn crystal.

Cell: 3.0451 3.9953 5.6647 Å, 90.00 101.86 90.00°
Atoms (fractional coordinates):
Ca (0.0000, 0.0000, 0.0000)
Be (0.3255, 0.5000, 0.6568)
Be (0.6745, 0.5000, 0.3432)
Zn (0.5000, 0.0000, 0.5000)

Computed properties:
Its raw total energy is -2.375 eV per atom.

***

No. 4
## CaBe2Zn (PBE)

Data for a relaxed CaBe2Zn crystal.

Cell: 4.6098 4.6098 4.6098 Å, 128.20 115.48 87.22°
Atoms (fractional coordinates):
Ca (0.0000, 0.0000, 0.0000)
Be (0.5492, 0.5492, 0.0000)
Be (0.6825, 0.1825, 0.5000)
Zn (0.3096, 0.8096, 0.5000)

Computed properties:
Its raw total energy is -2.379 eV per atom.

***

no.,D(E_F) (states/eV/f.u.)
1,1.39
2,2.40
3,2.26
4,1.44